The following is a PBE-GGA calculation of a geometry-optimized Pr3Ho2Tm2 structure, from Alexandria.

symmetry = C2/m, No. 12
DOS at the Fermi energy = 11.10 states/eV/f.u.
offset from the most stable computed form = 74.7 meV per atom
VASP energy = -31.61 eV for the cell shown
energy relative to the elements = 0.82 eV/f.u.

Lattice parameters (Å, degrees): 3.520 8.542 8.986 117.79 101.29 90.00
Atoms (fractional coordinates):
Pr1 0.785 0.204 0.571
Pr2 0.215 0.796 0.429
Pr3 0.000 0.500 0.000
Tm1 0.141 0.320 0.282
Tm2 0.859 0.680 0.718
Ho1 0.564 0.910 0.129
Ho2 0.436 0.090 0.871

---

The following is a PBE-GGA calculation of a geometry-optimized Pr2Ho5Tm structure, from Alexandria.

symmetry = I4/mmm, No. 139
DOS at the Fermi energy = 12.07 states/eV/f.u.
offset from the most stable computed form = 3.7 meV per atom
VASP energy = -36.70 eV for the cell shown
energy relative to the elements = 0.22 eV/f.u.

Lattice parameters (Å, degrees): 5.056 5.056 10.672 103.70 103.70 90.00
Atoms (fractional coordinates):
Ho1 0.122 0.622 0.244
Ho2 0.500 0.500 0.000
Ho3 0.378 0.878 0.756
Ho4 0.622 0.122 0.244
Ho5 0.878 0.378 0.756
Pr1 0.750 0.750 0.500
Pr2 0.250 0.250 0.500
Tm1 0.000 0.000 0.000

---

The following is a PBE-GGA calculation of a geometry-optimized Pr6Ho7Tm16 structure, from Alexandria.

symmetry = Fm-3m, No. 225
DOS at the Fermi energy = 55.39 states/eV/f.u.
VASP energy = -125.24 eV for the cell shown
energy relative to the elements = 7.02 eV/f.u.

Lattice parameters (Å, degrees): 11.114 11.114 11.114 60.00 60.00 60.00
Atoms (fractional coordinates):
Tm1 0.872 0.383 0.872
Tm2 0.872 0.872 0.383
Tm3 0.952 0.349 0.349
Tm4 0.349 0.349 0.349
Tm5 0.383 0.872 0.872
Tm6 0.128 0.128 0.128
Tm7 0.651 0.651 0.048
Tm8 0.349 0.952 0.349
Tm9 0.128 0.128 0.617
Tm10 0.651 0.048 0.651
Tm11 0.651 0.651 0.651
Tm12 0.872 0.872 0.872
Tm13 0.128 0.617 0.128
Tm14 0.048 0.651 0.651
Tm15 0.349 0.349 0.952
Tm16 0.617 0.128 0.128
Ho1 0.000 0.000 0.000
Ho2 0.000 0.000 0.500
Ho3 0.500 0.000 0.500
Ho4 0.000 0.500 0.000
Ho5 0.500 0.000 0.000
Ho6 0.500 0.500 0.000
Ho7 0.000 0.500 0.500
Pr1 0.269 0.269 0.731
Pr2 0.269 0.731 0.269
Pr3 0.731 0.269 0.731
Pr4 0.731 0.731 0.269
Pr5 0.731 0.269 0.269
Pr6 0.269 0.731 0.731

---

The following is a PBE-GGA calculation of a geometry-optimized Pr7HoTm3 structure, from Alexandria.

symmetry = P-1, No. 2
DOS at the Fermi energy = 16.43 states/eV/f.u.
offset from the most stable computed form = 0.0 meV per atom
VASP energy = -98.85 eV for the cell shown
energy relative to the elements = 2.02 eV/f.u.

Lattice parameters (Å, degrees): 10.329 10.327 12.709 65.13 114.85 139.20
Atoms (fractional coordinates):
Pr1 0.088 0.419 0.976
Pr2 0.086 0.421 0.472
Pr3 0.912 0.581 0.024
Pr4 0.701 0.701 0.250
Pr5 0.837 0.149 0.728
Pr6 0.299 0.299 0.750
Pr7 0.579 0.914 0.972
Pr8 0.581 0.912 0.476
Pr9 0.163 0.851 0.272
Pr10 0.421 0.086 0.028
Pr11 0.914 0.579 0.528
Pr12 0.850 0.163 0.228
Pr13 0.150 0.837 0.772
Pr14 0.419 0.088 0.524
Tm1 0.668 0.323 0.774
Tm2 0.000 0.000 0.000
Tm3 0.677 0.332 0.274
Tm4 0.000 0.000 0.500
Tm5 0.332 0.677 0.226
Tm6 0.323 0.668 0.726
Ho1 0.500 0.500 0.500
Ho2 0.500 0.500 0.000

---

The following is a PBE-GGA calculation of a geometry-optimized Pr7Ho12Tm structure, from Alexandria.

symmetry = R-3, No. 148
DOS at the Fermi energy = 35.65 states/eV/f.u.
offset from the most stable computed form = 0.0 meV per atom
VASP energy = -88.31 eV for the cell shown
energy relative to the elements = 4.55 eV/f.u.

Lattice parameters (Å, degrees): 8.802 8.802 8.802 85.91 85.91 85.91
Atoms (fractional coordinates):
Ho1 0.497 0.615 0.136
Ho2 0.272 0.144 0.750
Ho3 0.856 0.250 0.728
Ho4 0.144 0.750 0.272
Ho5 0.615 0.136 0.497
Ho6 0.136 0.497 0.615
Ho7 0.503 0.385 0.864
Ho8 0.750 0.272 0.144
Ho9 0.385 0.864 0.503
Ho10 0.250 0.728 0.856
Ho11 0.728 0.856 0.250
Ho12 0.864 0.503 0.385
Pr1 0.399 0.083 0.156
Pr2 0.156 0.399 0.083
Pr3 0.083 0.156 0.399
Pr4 0.844 0.601 0.917
Pr5 0.500 0.500 0.500
Pr6 0.601 0.917 0.844
Pr7 0.917 0.844 0.601
Tm1 0.000 0.000 0.000

---

The following is a PBE-GGA calculation of a geometry-optimized PrHo4Tm3 structure, from Alexandria.

symmetry = C2/m, No. 12
DOS at the Fermi energy = 13.74 states/eV/f.u.
offset from the most stable computed form = 232.6 meV per atom
VASP energy = -34.59 eV for the cell shown
energy relative to the elements = 1.91 eV/f.u.

Lattice parameters (Å, degrees): 5.609 3.540 13.283 89.92 102.19 90.00
Atoms (fractional coordinates):
Ho1 0.606 0.501 0.211
Ho2 0.394 0.499 0.789
Ho3 0.276 0.499 0.552
Ho4 0.724 0.501 0.448
Pr1 0.500 0.000 0.000
Tm1 0.000 0.500 0.000
Tm2 0.157 0.001 0.314
Tm3 0.843 0.999 0.686